Density functional theory data (PBE+U) for a geometry-optimized Bi2W2O structure.

a = 6.086 Å, b = 6.086 Å, c = 6.913 Å
α = 90.00°, β = 90.00°, γ = 90.00°
Space group I4/mmm (No. 139)
Unique sites:
Bi 0.000 0.500 0.250
W 0.000 0.000 0.221
O 0.000 0.000 0.500

Summary:
**Relative energy among the computed polymorphs**: 0.170 eV per atom